Entry from Alexandria via LeMat-Bulk: a relaxed structure of HfAg5S5 (PBE).

The value obtained for the formation energy (no corrections) is -0.34 eV/atom. As for the calculated volume: 20.3 Å³ per atom.

It has space group C2/m (No. 12), with a = 12.405 Å, b = 5.045 Å, c = 7.400 Å, α = 90.00°, β = 105.63° and γ = 90.00°. The inequivalent atoms are Hf at (0.000, 0.000, 0.000), Ag at (0.000, 0.000, 0.500), Ag at (0.134, 0.500, 0.393), Ag at (0.170, 0.500, 0.827), S at (0.000, 0.500, 0.000), S at (0.149, 0.000, 0.819) and S at (0.155, 0.000, 0.319).